VASP calculation (PBE-GGA) on an optimized crystal structure of Sr2Li2Ga.

Results
ΔH_f (0 K): -0.152 eV per atom
Relative energy among the computed polymorphs: 16 meV per atom
Spin magnetization: 0.00 μB/f.u.
Density of states at the Fermi level: 3.81 states/eV/f.u.

a b c (Å): 6.3372 6.3372 6.3372
angles (deg): 133.79 124.87 74.71
Fractional positions:
Sr 0.1917 0.1917 0.0000
Sr 0.8083 0.8083 0.0000
Li 0.2694 0.5000 0.7694
Li 0.7306 0.5000 0.2306
Ga 0.5000 0.0000 0.5000